(1)
The following is a SCAN calculation of a crystal of SrYAs relaxed with PBEsol, from the Alexandria database.

Summary:
electronic total energy = -24.22 eV/atom
energy of formation = -789 meV/atom

Cell: 6.999 6.999 6.999 Å, 90.00 90.00 90.00°
Space group F-43m (No. 216)
Asymmetric unit:
Sr (0.000, 0.000, 0.000) (multiplicity 4)
Y (0.000, 0.000, 0.500) (multiplicity 4)
As (0.250, 0.250, 0.750) (multiplicity 4)

---

(2)
The following is a SCAN calculation of a crystal of SrNbGa2Pt relaxed with PBEsol, from the Alexandria database.

Summary:
electronic total energy = -31.83 eV/atom
energy of formation = -168 meV/atom

Cell: 5.031 5.031 4.867 Å, 90.00 90.00 90.00°
Space group P4/mmm (No. 123)
Asymmetric unit:
Sr (0.000, 0.000, 0.000) (multiplicity 1)
Nb (0.500, 0.500, 0.500) (multiplicity 1)
Ga (0.000, 0.500, 0.500) (multiplicity 2)
Pt (0.500, 0.500, 0.000) (multiplicity 1)

---

(3)
The following is a SCAN calculation of a crystal of TiZnSbP3O12 relaxed with PBEsol, from the Alexandria database.

Summary:
formation energy without anion corrections = -2.322 eV per atom
electronic total energy = -11.92 eV/atom

Cell: 8.8339 8.8339 19.5443 Å, 90.00 90.00 120.00°
Space group R3c (No. 161, hexagonal axes)
Asymmetric unit:
Ti (0.0000, 0.0000, 0.0000) (multiplicity 6)
Zn (0.0000, 0.0000, 0.3447) (multiplicity 6)
Sb (0.0000, 0.0000, 0.1853) (multiplicity 6)
P (0.0030, 0.3194, 0.1013) (multiplicity 18)
O (0.0046, 0.1921, 0.0453) (multiplicity 18)
O (0.0048, 0.2540, 0.1724) (multiplicity 18)
O (0.1663, 0.0024, 0.4227) (multiplicity 18)
O (0.1665, 0.4978, 0.4319) (multiplicity 18)

---

(4)
The following is a SCAN calculation of a crystal of KLa2GaO relaxed with PBEsol, from the Alexandria database.

Summary:
formation energy without anion corrections = 1.158 eV per atom
electronic total energy = -22.26 eV/atom

Cell: 5.383 5.383 4.639 Å, 90.00 90.00 90.00°
Space group P4/mmm (No. 123)
Asymmetric unit:
K (0.000, 0.000, 0.000) (multiplicity 1)
La (0.000, 0.500, 0.000) (multiplicity 2)
Ga (0.000, 0.000, 0.500) (multiplicity 1)
O (0.500, 0.500, 0.500) (multiplicity 1)

---

(5)
The following is a SCAN calculation of a crystal of Ti2Co2Ag relaxed with PBEsol, from the Alexandria database.

Summary:
electronic total energy = -19.79 eV/atom
energy of formation = -187 meV/atom

Cell: 6.873 6.873 2.843 Å, 90.00 90.00 90.00°
Space group P4/mbm (No. 127)
Asymmetric unit:
Ti (0.160, 0.340, 0.000) (multiplicity 4)
Co (0.134, 0.634, 0.500) (multiplicity 4)
Ag (0.000, 0.000, 0.500) (multiplicity 2)

---

(6)
The following is a SCAN calculation of a crystal of BeHgS2 relaxed with PBEsol, from the Alexandria database.

Summary:
formation energy without anion corrections = -0.665 eV per atom
electronic total energy = -23.61 eV/atom
distance to the lowest polymorph of the same formula = 0 meV/atom

Cell: 5.432 5.432 10.200 Å, 90.00 90.00 90.00°
Space group I-42d (No. 122)
Asymmetric unit:
Be (0.000, 0.000, 0.000) (multiplicity 4)
Hg (0.000, 0.000, 0.500) (multiplicity 4)
S (0.182, 0.250, 0.125) (multiplicity 8)

---

Number 1: V 28.6 A^3/atom. Number 2: V 24.6 A^3/atom. Number 3: V 12.2 A^3/atom. Number 4: V 26.9 A^3/atom. Number 5: V 13.4 A^3/atom. Number 6: V 18.8 A^3/atom.